The following is a PBE calculation of Na2InPd after structural relaxation, from Alexandria.

Its crystal system is tetragonal. The calculation puts the energy of formation at -160 meV per atom.

It has space group P4/mmm (No. 123), with a = 4.114 Å, b = 4.114 Å, c = 5.045 Å, α = 90.00°, β = 90.00° and γ = 90.00°. The distinct sites, in fractional coordinates, are Na at (0.000, 0.500, 0.000), In at (0.000, 0.000, 0.500) and Pd at (0.500, 0.500, 0.500).


The following is a PBE calculation of Na2InPd after structural relaxation, from Alexandria.

Its crystal system is tetragonal. The calculation puts the energy of formation at -37 meV per atom.

It has space group I-42d (No. 122), with a = 4.030 Å, b = 4.030 Å, c = 22.106 Å, α = 90.00°, β = 90.00° and γ = 90.00°. The distinct sites, in fractional coordinates, are Na at (0.236, 0.250, 0.125), In at (0.000, 0.000, 0.500) and Pd at (0.000, 0.000, 0.000).


Number 1 is which compound?
Na2InPd


energy of formation of number 2 (Na2InPd)?
-37 meV per atom


Among the records above, which one has the highest energy of formation?
number 2


What is the energy of formation in the first record?
-160 meV per atom